Computed, not measured: a relaxed Ce2MnSi3Ir4 crystal at the PBE level of DFT.

Values from the calculation:
* density of states at the Fermi level: 11.05 states/eV per cell
* total magnetization: 0.199 μB/atom
* formation energy (no corrections): -0.903 eV per atom
* volume: 17.31 A^3/atom

```
10
Lattice="4.1174 0.0000 0.0000 0.0000 4.1174 0.0000 0.0000 0.0000 10.2114" Properties=species:S:1:pos:R:3 pbc="T T T"
Ce 0.0000 2.0587 2.5189
Ce 2.0587 0.0000 7.6925
Mn 2.0587 2.0587 0.0000
Si 0.0000 0.0000 0.0000
Si 0.0000 2.0587 6.4037
Si 2.0587 0.0000 3.8077
Ir 0.0000 0.0000 5.1057
Ir 0.0000 2.0587 8.8056
Ir 2.0587 0.0000 1.4058
Ir 2.0587 2.0587 5.1057
```